An optimized crystal structure of Tb5PmEr7. Source: the Alexandria database, functional PBE.

Properties
Symmetry: Imm2 (44)
Energy of formation in eV/atom: 0.252
Distance to the lowest polymorph of the same formula in eV per atom: 0.0000
Density in Mg/m³: 8.282
Electronic total energy in eV/atom: -4.35

a b c (Å): 8.640 8.640 8.640
angles (deg): 134.62 100.74 96.39
Positions (direct):
Tb (0.000, 0.000, 0.000)
Tb (0.269, 0.230, 0.504)
Tb (0.269, 0.766, 0.040)
Tb (0.726, 0.230, 0.960)
Tb (0.726, 0.766, 0.496)
Pm (0.698, 0.198, 0.500)
Er (0.002, 0.502, 0.500)
Er (0.081, 0.249, 0.831)
Er (0.307, 0.807, 0.500)
Er (0.418, 0.249, 0.169)
Er (0.497, 0.497, 0.000)
Er (0.578, 0.748, 0.831)
Er (0.917, 0.748, 0.169)

***

An optimized crystal structure of SrBeW. Source: the Alexandria database, functional PBE.

Properties
Symmetry: I4mm (107)
Energy of formation in eV/atom: 0.891
Distance to the lowest polymorph of the same formula in eV per atom: 0.0723
Density in Mg/m³: 8.318
Electronic total energy in eV/atom: -5.23

a b c (Å): 6.847 6.847 6.847
angles (deg): 155.30 155.30 35.21
Positions (direct):
Sr (0.000, 0.000, 0.000)
Be (0.316, 0.316, 0.000)
W (0.707, 0.707, 0.000)

***

An optimized crystal structure of TbNdN. Source: the Alexandria database, functional PBE.

Properties
Symmetry: Pmmn (59)
Distance to the lowest polymorph of the same formula in eV per atom: 0.0000
Raw formation energy in meV per atom: -956
Density in Mg/m³: 7.685
Electronic total energy in eV/atom: -6.86

a b c (Å): 3.535 5.208 7.445
angles (deg): 90.00 90.00 90.00
Positions (direct):
Tb (0.250, 0.250, 0.153)
Tb (0.750, 0.750, 0.847)
Nd (0.250, 0.250, 0.611)
Nd (0.750, 0.750, 0.389)
N (0.250, 0.750, 0.639)
N (0.750, 0.250, 0.361)

***

An optimized crystal structure of CrMo2Rh. Source: the Alexandria database, functional PBE.

Properties
Symmetry: Pmm2 (25)
Energy of formation in eV/atom: 0.161
Distance to the lowest polymorph of the same formula in eV per atom: 0.0832
Density in Mg/m³: 9.866
Electronic total energy in eV/atom: -9.50

a b c (Å): 2.651 3.921 5.616
angles (deg): 90.00 90.00 90.00
Positions (direct):
Cr (0.000, 0.000, 0.000)
Mo (0.000, 0.000, 0.519)
Mo (0.500, 0.500, 0.246)
Rh (0.500, 0.500, 0.772)

***

An optimized crystal structure of Sc2ReW. Source: the Alexandria database, functional PBE.

Properties
Symmetry: P2/m (10)
Energy of formation in eV/atom: 0.156
Distance to the lowest polymorph of the same formula in eV per atom: 0.2128
Density in Mg/m³: 10.858
Electronic total energy in eV/atom: -9.36

a b c (Å): 2.834 4.640 5.468
angles (deg): 90.00 101.95 90.00
Positions (direct):
Sc (0.215, 0.000, 0.254)
Sc (0.785, 0.000, 0.746)
Re (0.000, 0.500, 0.500)
W (0.500, 0.500, 0.000)

***

An optimized crystal structure of Li3Tb2Hg4. Source: the Alexandria database, functional PBE.

Properties
Symmetry: Cmce (64)
Energy of formation in eV/atom: -0.365
Distance to the lowest polymorph of the same formula in eV per atom: 0.0064
Density in Mg/m³: 9.687
Electronic total energy in eV/atom: -2.17

a b c (Å): 8.394 8.394 8.276
angles (deg): 90.00 90.00 137.87
Positions (direct):
Li (0.000, 0.000, 0.000)
Li (0.033, 0.467, 0.250)
Li (0.467, 0.033, 0.750)
Li (0.500, 0.500, 0.500)
Li (0.533, 0.967, 0.250)
Li (0.967, 0.533, 0.750)
Tb (0.116, 0.884, 0.418)
Tb (0.384, 0.616, 0.918)
Tb (0.616, 0.384, 0.082)
Tb (0.884, 0.116, 0.582)
Hg (0.183, 0.817, 0.040)
Hg (0.204, 0.296, 0.250)
Hg (0.296, 0.204, 0.750)
Hg (0.317, 0.683, 0.540)
Hg (0.683, 0.317, 0.460)
Hg (0.704, 0.796, 0.250)
Hg (0.796, 0.704, 0.750)
Hg (0.817, 0.183, 0.960)

***

An optimized crystal structure of Fe2Sb8Pd. Source: the Alexandria database, functional PBE.

Properties
Symmetry: C2/m (12)
Raw formation energy in meV per atom: 87
Density in Mg/m³: 7.155
Electronic total energy in eV/atom: -4.92

a b c (Å): 8.207 8.207 4.776
angles (deg): 92.34 92.34 59.43
Positions (direct):
Fe (0.175, 0.175, 0.257)
Fe (0.825, 0.825, 0.743)
Sb (0.178, 0.178, 0.760)
Sb (0.179, 0.655, 0.768)
Sb (0.345, 0.821, 0.232)
Sb (0.351, 0.351, 0.291)
Sb (0.649, 0.649, 0.709)
Sb (0.655, 0.179, 0.768)
Sb (0.821, 0.345, 0.232)
Sb (0.822, 0.822, 0.240)
Pd (0.000, 0.000, 0.500)

***

An optimized crystal structure of InFeS2N. Source: the Alexandria database, functional PBE.

Properties
Symmetry: P4/mmm (123)
Distance to the lowest polymorph of the same formula in eV per atom: 1.0280
Raw formation energy in meV per atom: 1214
Density in Mg/m³: 3.880
Electronic total energy in eV/atom: -4.34

a b c (Å): 5.091 5.091 4.109
angles (deg): 90.00 90.00 90.00
Positions (direct):
In (0.000, 0.000, 0.000)
Fe (0.500, 0.500, 0.500)
S (0.000, 0.500, 0.000)
S (0.500, 0.000, 0.000)
N (0.000, 0.000, 0.500)

***

An optimized crystal structure of NaThAg2Cl8. Source: the Alexandria database, functional PBE.

Properties
Symmetry: P2/m (10)
Raw formation energy in meV per atom: -1333
Density in Mg/m³: 3.575
Electronic total energy in eV/atom: -3.77

a b c (Å): 6.451 8.010 6.825
angles (deg): 90.00 96.54 90.00
Positions (direct):
Na (0.000, 0.000, 0.000)
Th (0.000, 0.500, 0.000)
Ag (0.500, 0.237, 0.500)
Ag (0.500, 0.763, 0.500)
Cl (0.219, 0.263, 0.844)
Cl (0.219, 0.737, 0.844)
Cl (0.273, 0.000, 0.351)
Cl (0.288, 0.500, 0.341)
Cl (0.712, 0.500, 0.659)
Cl (0.727, 0.000, 0.649)
Cl (0.781, 0.263, 0.156)
Cl (0.781, 0.737, 0.156)

***

An optimized crystal structure of In2HgP. Source: the Alexandria database, functional PBE.

Properties
Symmetry: Fm-3m (225)
Energy of formation in eV/atom: 0.193
Distance to the lowest polymorph of the same formula in eV per atom: 0.2164
Density in Mg/m³: 7.942
Electronic total energy in eV/atom: -2.60

a b c (Å): 5.147 5.147 5.147
angles (deg): 60.00 60.00 60.00
Positions (direct):
In (0.250, 0.250, 0.250)
In (0.750, 0.750, 0.750)
Hg (0.000, 0.000, 0.000)
P (0.500, 0.500, 0.500)

***

An optimized crystal structure of MnSb2Pt. Source: the Alexandria database, functional PBE.

Properties
Symmetry: R3m (160)
Distance to the lowest polymorph of the same formula in eV per atom: 0.0824
Raw formation energy in meV per atom: -81
Density in Mg/m³: 9.086
Electronic total energy in eV/atom: -5.95

a b c (Å): 6.492 6.492 6.492
angles (deg): 37.33 37.33 37.33
Positions (direct):
Mn (0.000, 0.000, 0.000)
Sb (0.543, 0.543, 0.543)
Sb (0.735, 0.735, 0.735)
Pt (0.282, 0.282, 0.282)

***

An optimized crystal structure of Pm2Cu3Sn4Pt. Source: the Alexandria database, functional PBE.

Properties
Symmetry: P-4m2 (115)
Energy of formation in eV/atom: -0.500
Density in Mg/m³: 8.846
Electronic total energy in eV/atom: -4.88

a b c (Å): 4.481 4.481 10.755
angles (deg): 90.00 90.00 90.00
Positions (direct):
Pm (0.000, 0.500, 0.240)
Pm (0.500, 0.000, 0.760)
Cu (0.000, 0.000, 0.000)
Cu (0.000, 0.500, 0.634)
Cu (0.500, 0.000, 0.366)
Sn (0.000, 0.000, 0.500)
Sn (0.000, 0.500, 0.867)
Sn (0.500, 0.000, 0.133)
Sn (0.500, 0.500, 0.500)
Pt (0.500, 0.500, 0.000)

***

An optimized crystal structure of YCdHg2. Source: the Alexandria database, functional PBE.

Properties
Symmetry: P4/mmm (123)
Energy of formation in eV/atom: -0.281
Density in Mg/m³: 10.357
Electronic total energy in eV/atom: -2.28

a b c (Å): 3.606 3.606 7.428
angles (deg): 90.00 90.00 90.00
Positions (direct):
Y (0.000, 0.000, 0.000)
Cd (0.000, 0.000, 0.500)
Hg (0.500, 0.500, 0.257)
Hg (0.500, 0.500, 0.743)

***

An optimized crystal structure of BaAcNi2P2. Source: the Alexandria database, functional PBE.

Properties
Symmetry: P-3m1 (164)
Energy of formation in eV/atom: -0.913
Density in Mg/m³: 6.943
Electronic total energy in eV/atom: -5.65

a b c (Å): 4.063 4.063 9.097
angles (deg): 90.00 90.00 120.00
Positions (direct):
Ba (0.000, 0.000, 0.000)
Ac (0.000, 0.000, 0.500)
Ni (0.333, 0.667, 0.264)
Ni (0.667, 0.333, 0.736)
P (0.333, 0.667, 0.737)
P (0.667, 0.333, 0.263)

***

An optimized crystal structure of PrPaCuO6. Source: the Alexandria database, functional PBE.

Properties
Symmetry: P312 (149)
Raw formation energy in meV per atom: -2195
Density in Mg/m³: 7.033
Electronic total energy in eV/atom: -7.54

a b c (Å): 5.420 5.420 4.932
angles (deg): 90.00 90.00 120.00
Positions (direct):
Pr (0.000, 0.000, 0.000)
Pa (0.667, 0.333, 0.500)
Cu (0.333, 0.667, 0.000)
O (0.011, 0.384, 0.242)
O (0.011, 0.627, 0.758)
O (0.373, 0.384, 0.758)
O (0.373, 0.989, 0.242)
O (0.616, 0.627, 0.242)
O (0.616, 0.989, 0.758)

***

An optimized crystal structure of Ca2GaPPt6. Source: the Alexandria database, functional PBE.

Properties
Symmetry: Pmmn (59)
Energy of formation in eV/atom: -0.790
Density in Mg/m³: 11.481
Electronic total energy in eV/atom: -5.66

a b c (Å): 5.611 8.662 8.042
angles (deg): 90.00 90.00 90.00
Positions (direct):
Ca (0.250, 0.020, 0.221)
Ca (0.250, 0.480, 0.221)
Ca (0.750, 0.520, 0.779)
Ca (0.750, 0.980, 0.779)
Ga (0.250, 0.750, 0.780)
Ga (0.750, 0.250, 0.220)
P (0.250, 0.250, 0.737)
P (0.750, 0.750, 0.263)
Pt (0.005, 0.750, 0.506)
Pt (0.007, 0.750, 0.040)
Pt (0.250, 0.002, 0.614)
Pt (0.250, 0.498, 0.614)
Pt (0.493, 0.750, 0.040)
Pt (0.495, 0.750, 0.506)
Pt (0.505, 0.250, 0.494)
Pt (0.507, 0.250, 0.960)
Pt (0.750, 0.502, 0.386)
Pt (0.750, 0.998, 0.386)
Pt (0.993, 0.250, 0.960)
Pt (0.995, 0.250, 0.494)

***

An optimized crystal structure of K3Ce2TmS6. Source: the Alexandria database, functional PBE.

Properties
Symmetry: C2/m (12)
Raw formation energy in meV per atom: -1815
Density in Mg/m³: 3.831
Electronic total energy in eV/atom: -5.51

a b c (Å): 7.184 7.184 7.739
angles (deg): 98.91 98.91 120.00
Positions (direct):
K (0.000, 0.000, 0.000)
K (0.333, 0.667, 0.000)
K (0.667, 0.333, 0.000)
Ce (0.167, 0.833, 0.500)
Ce (0.833, 0.167, 0.500)
Tm (0.500, 0.500, 0.500)
S (0.110, 0.432, 0.296)
S (0.246, 0.246, 0.703)
S (0.432, 0.110, 0.296)
S (0.568, 0.890, 0.704)
S (0.754, 0.754, 0.297)
S (0.890, 0.568, 0.704)

***

An optimized crystal structure of Lu3Sn. Source: the Alexandria database, functional PBE.

Properties
Symmetry: P6_3/mmc (194)
Energy of formation in eV/atom: -0.366
Density in Mg/m³: 10.064
Electronic total energy in eV/atom: -4.76

a b c (Å): 6.713 6.713 5.442
angles (deg): 90.00 90.00 120.00
Positions (direct):
Lu (0.169, 0.337, 0.250)
Lu (0.169, 0.831, 0.250)
Lu (0.337, 0.169, 0.750)
Lu (0.663, 0.831, 0.250)
Lu (0.831, 0.169, 0.750)
Lu (0.831, 0.663, 0.750)
Sn (0.333, 0.667, 0.750)
Sn (0.667, 0.333, 0.250)

***

An optimized crystal structure of Ca2MnSe2. Source: the Alexandria database, functional PBE.

Properties
Symmetry: P4/mbm (127)
Distance to the lowest polymorph of the same formula in eV per atom: 0.0000
Raw formation energy in meV per atom: -788
Density in Mg/m³: 3.839
Electronic total energy in eV/atom: -4.82

a b c (Å): 8.195 8.195 3.774
angles (deg): 90.00 90.00 90.00
Positions (direct):
Ca (0.147, 0.353, 0.000)
Ca (0.353, 0.853, 0.000)
Ca (0.647, 0.147, 0.000)
Ca (0.853, 0.647, 0.000)
Mn (0.000, 0.000, 0.000)
Mn (0.500, 0.500, 0.000)
Se (0.158, 0.658, 0.500)
Se (0.342, 0.158, 0.500)
Se (0.658, 0.842, 0.500)
Se (0.842, 0.342, 0.500)

***

An optimized crystal structure of Tb2Hg2Pd. Source: the Alexandria database, functional PBE.

Properties
Symmetry: C2/m (12)
Energy of formation in eV/atom: -0.558
Density in Mg/m³: 11.549
Electronic total energy in eV/atom: -3.57

a b c (Å): 3.565 3.565 9.662
angles (deg): 100.49 100.49 89.96
Positions (direct):
Tb (0.093, 0.093, 0.185)
Tb (0.907, 0.907, 0.815)
Hg (0.302, 0.302, 0.603)
Hg (0.698, 0.698, 0.397)
Pd (0.500, 0.500, 0.000)

***

An optimized crystal structure of CoHg4Sb. Source: the Alexandria database, functional PBE.

Properties
Symmetry: F-43m (216)
Raw formation energy in meV per atom: 661
Density in Mg/m³: 11.563
Electronic total energy in eV/atom: -1.41

a b c (Å): 5.845 5.845 5.845
angles (deg): 60.00 60.00 60.00
Positions (direct):
Co (0.000, 0.000, 0.000)
Hg (0.123, 0.626, 0.626)
Hg (0.626, 0.123, 0.626)
Hg (0.626, 0.626, 0.123)
Hg (0.626, 0.626, 0.626)
Sb (0.250, 0.250, 0.250)

***

An optimized crystal structure of ThBiSe2N. Source: the Alexandria database, functional PBE.

Properties
Symmetry: P4/nmm (129)
Raw formation energy in meV per atom: -1143
Density in Mg/m³: 7.970
Electronic total energy in eV/atom: -6.46

a b c (Å): 4.122 4.122 15.033
angles (deg): 90.00 90.00 90.00
Positions (direct):
Th (0.250, 0.250, 0.077)
Th (0.750, 0.750, 0.923)
Bi (0.250, 0.250, 0.635)
Bi (0.750, 0.750, 0.365)
Se (0.250, 0.250, 0.402)
Se (0.250, 0.250, 0.814)
Se (0.750, 0.750, 0.186)
Se (0.750, 0.750, 0.598)
N (0.250, 0.750, 0.000)
N (0.750, 0.250, 0.000)

***

An optimized crystal structure of SrCa3Mg3. Source: the Alexandria database, functional PBE.

Properties
Symmetry: Cmmm (65)
Energy of formation in eV/atom: 0.002
Density in Mg/m³: 1.861
Electronic total energy in eV/atom: -1.78

a b c (Å): 8.013 8.013 7.840
angles (deg): 90.00 90.00 95.35
Positions (direct):
Sr (0.213, 0.213, 0.000)
Sr (0.787, 0.787, 0.000)
Ca (0.225, 0.225, 0.500)
Ca (0.259, 0.741, 0.500)
Ca (0.278, 0.722, 0.000)
Ca (0.722, 0.278, 0.000)
Ca (0.741, 0.259, 0.500)
Ca (0.775, 0.775, 0.500)
Mg (0.000, 0.500, 0.256)
Mg (0.000, 0.500, 0.744)
Mg (0.500, 0.000, 0.256)
Mg (0.500, 0.000, 0.744)
Mg (0.500, 0.500, 0.267)
Mg (0.500, 0.500, 0.733)

***

An optimized crystal structure of LaTiNiP2. Source: the Alexandria database, functional PBE.

Properties
Symmetry: I-4m2 (119)
Energy of formation in eV/atom: -1.092
Density in Mg/m³: 5.684
Electronic total energy in eV/atom: -6.98

a b c (Å): 6.588 6.588 6.588
angles (deg): 145.82 145.82 49.11
Positions (direct):
La (0.000, 0.000, 0.000)
Ti (0.250, 0.750, 0.500)
Ni (0.750, 0.250, 0.500)
P (0.367, 0.367, 0.000)
P (0.633, 0.633, 0.000)